# CrReHg2 | Alexandria via LeMat-Bulk | PBE | relaxed
data_CrReHg2
_chemical_formula_sum 'Cr4 Re4 Hg8'
_symmetry_space_group_name_H-M 'F -4 3 m'
_symmetry_Int_Tables_number 216
_symmetry_space_group_name_Hall 'F -4 2 3'
_cell_length_a 6.596
_cell_length_b 6.596
_cell_length_c 6.596
_cell_angle_alpha 90.00
_cell_angle_beta 90.00
_cell_angle_gamma 90.00
loop_
_atom_site_label
_atom_site_type_symbol
_atom_site_fract_x
_atom_site_fract_y
_atom_site_fract_z
_atom_site_occupancy
Cr1 Cr 0.000 0.000 0.000 1
Re1 Re 0.250 0.250 0.250 1
Hg1 Hg 0.000 0.000 0.500 1
Hg2 Hg 0.250 0.250 0.750 1
# Final energy in Ha/atom: -0.1749
# Total magnetic moment in μB/f.u.: 1.447
# DOS(E_F) in states/eV/f.u.: 1.5
# ΔE_f in meV per atom: 909
# V in Å³ per atom: 17.933
# E above lowest polymorph in meV/atom: 480.7